[1]
HfTa2Nb PBE relaxed; DFT formation energy = 0.09 eV/atom; space group = Fm-3m (225); spin magnetization = 0.00 Bohr magnetons per cell; ΔE to the lowest computed polymorph = 0.049 eV/atom; DOS at the Fermi energy = 7.8 states/eV per cell
1.0
0.672 -4.711 -0.139
-1.904 -2.776 3.366
-3.628 -2.891 -1.070
Nb Ta Hf
1 2 1
Cartesian
0.000 0.000 0.000 Nb
-1.215 -2.595 0.539 Ta
-3.645 -7.784 1.618 Ta
-2.430 -5.189 1.078 Hf

[2]
HfTaNb PBE relaxed; DFT formation energy = 0.06 eV/atom; space group = P4/nmm (129); spin magnetization = 0.00 Bohr magnetons per cell; ΔE to the lowest computed polymorph = 0.019 eV/atom; DOS at the Fermi energy = 10.1 states/eV per cell
1.0
-0.218 3.093 -1.272
-2.021 -1.137 -2.420
-8.308 1.903 6.047
Nb Ta Hf
2 2 2
Cartesian
-3.600 2.346 1.905 Nb
-5.827 0.534 2.296 Nb
-6.166 2.934 3.773 Ta
-3.262 -0.053 0.429 Ta
-8.492 1.145 4.235 Hf
-0.936 1.736 -0.034 Hf

[3]
Hf2TaNb PBE relaxed; DFT formation energy = 0.21 eV/atom; space group = R3m (160); spin magnetization = 0.00 Bohr magnetons per cell; ΔE to the lowest computed polymorph = 0.066 eV/atom; DOS at the Fermi energy = 5.4 states/eV per cell
1.0
3.069 0.000 0.000
1.534 2.657 0.000
1.534 0.886 10.010
Nb Hf Ta
1 2 1
Cartesian
4.603 2.657 10.002 Nb
1.534 0.886 2.515 Hf
1.534 0.886 7.495 Hf
3.069 1.772 5.013 Ta

Q: Among the records above, which one has the highest DFT formation energy?
A: Hf2TaNb

Q: Among the records above, which one has the lowest DFT formation energy?
A: HfTaNb

Q: Which value of DOS at the Fermi energy does entry 1 give?
A: 7.8 states/eV per cell